Run a
Here is an optimized crystal structure of Ag4Pt from the Alexandria database. Energies are from PBE-GGA.

The structure belongs to space group C2/m (No. 12); the cell edges are 9.789, 5.472 and 7.242 Å and the angles 90.00°, 104.29° and 90.00°. The distinct sites, in fractional coordinates, are Ag at (0.025, 0.000, 0.194), Ag at (0.058, 0.500, 0.344), Ag at (0.200, 0.251, 0.682) and Pt at (0.139, 0.500, 0.000).

Its density of states at the Fermi level is 8.43 states/eV per cell. For the calculated density, the calculation gives 11.1 Mg/m³.

---

Run b
Here is an optimized crystal structure of Ag4Pt from the Alexandria database. Energies are from PBE-GGA.

The structure belongs to space group I4/mmm (No. 139); the cell edges are 2.881, 2.881 and 20.838 Å and the angles 90.00°, 90.00° and 90.00°. The distinct sites, in fractional coordinates, are Ag at (0.000, 0.000, 0.097), Ag at (0.000, 0.000, 0.301) and Pt at (0.000, 0.000, 0.500).

Its density of states at the Fermi level is 3.54 states/eV per cell. For the calculated density, the calculation gives 12.0 Mg/m³.

---

Short version: run a is the least stable of them.

---

Run a
Here is an optimized crystal structure of Ag4Pt from the Alexandria database. Energies are from PBE-GGA.

The structure belongs to space group I4/mmm (No. 139); the cell edges are 6.594, 6.594 and 4.990 Å and the angles 90.00°, 90.00° and 90.00°. The distinct sites, in fractional coordinates, are Ag at (0.202, 0.202, 0.000) and Pt at (0.000, 0.000, 0.500).

Its density of states at the Fermi level is 3.77 states/eV per cell. For the calculated density, the calculation gives 9.6 Mg/m³.

---

Run b
Here is an optimized crystal structure of Ag4Pt from the Alexandria database. Energies are from PBE-GGA.

The structure belongs to space group C2/m (No. 12); the cell edges are 9.632, 2.907 and 7.137 Å and the angles 90.00°, 119.93° and 90.00°. The distinct sites, in fractional coordinates, are Ag at (0.096, 0.000, 0.393), Ag at (0.204, 0.500, 0.801) and Pt at (0.000, 0.500, 0.000).

Its density of states at the Fermi level is 4.63 states/eV per cell. For the calculated density, the calculation gives 12.0 Mg/m³.

---

Run c
Here is an optimized crystal structure of Ag4Pt from the Alexandria database. Energies are from PBE-GGA.

The structure belongs to space group I4/m (No. 87); the cell edges are 6.436, 6.436 and 4.185 Å and the angles 90.00°, 90.00° and 90.00°. The distinct sites, in fractional coordinates, are Ag at (0.102, 0.702, 0.000) and Pt at (0.000, 0.000, 0.500).

Its density of states at the Fermi level is 3.43 states/eV per cell. For the calculated density, the calculation gives 12.0 Mg/m³.

---

Short version: run a is the least stable of them.

---

Run a
Here is an optimized crystal structure of Ag4Pt from the Alexandria database. Energies are from PBE-GGA.

The structure belongs to space group R-3m (No. 166, hexagonal axes); the cell edges are 2.8775, 2.8775 and 36.0579 Å and the angles 90.00°, 90.00° and 120.00°. The distinct sites, in fractional coordinates, are Ag at (0.0000, 0.0000, 0.1010), Ag at (0.0000, 0.0000, 0.2995) and Pt at (0.0000, 0.0000, 0.5000).

Its density of states at the Fermi level is 8.94 states/eV per cell. For the calculated density, the calculation gives 12.1 Mg/m³.

---

Run b
Here is an optimized crystal structure of Ag4Pt from the Alexandria database. Energies are from PBE-GGA.

The structure belongs to space group Im-3m (No. 229); the cell edges are 6.129, 6.129 and 6.129 Å and the angles 90.00°, 90.00° and 90.00°. The distinct sites, in fractional coordinates, are Ag at (0.250, 0.250, 0.250) and Pt at (0.000, 0.000, 0.000).

Its density of states at the Fermi level is 3.38 states/eV per cell. For the calculated density, the calculation gives 9.0 Mg/m³.

---

Run c
Here is an optimized crystal structure of Ag4Pt from the Alexandria database. Energies are from PBE-GGA.

The structure belongs to space group Pm-3m (No. 221); the cell edges are 5.096, 5.096 and 5.096 Å and the angles 90.00°, 90.00° and 90.00°. The distinct sites, in fractional coordinates, are Ag at (0.000, 0.000, 0.000), Ag at (0.000, 0.500, 0.500) and Pt at (0.500, 0.500, 0.500).

Its density of states at the Fermi level is 1.47 states/eV per cell. For the calculated density, the calculation gives 7.9 Mg/m³.

---

Short version: run c is the least stable of them.

---

Run a
Here is an optimized crystal structure of Ag5Pt4 from the Alexandria database. Energies are from PBE-GGA.

The structure belongs to space group Cm (No. 8); the cell edges are 9.532, 2.851 and 11.883 Å and the angles 90.00°, 111.37° and 90.00°. The distinct sites, in fractional coordinates, are Ag at (0.000, 0.000, 0.000), Ag at (0.057, 0.500, 0.223), Ag at (0.154, 0.500, 0.663), Ag at (0.221, 0.000, 0.894), Ag at (0.433, 0.000, 0.769), Pt at (0.106, 0.000, 0.444), Pt at (0.279, 0.500, 0.119), Pt at (0.336, 0.000, 0.333) and Pt at (0.373, 0.500, 0.542).

Its density of states at the Fermi level is 15.09 states/eV per cell. For the calculated density, the calculation gives 14.6 Mg/m³.

---

Run b
Here is an optimized crystal structure of Ag5Pt4 from the Alexandria database. Energies are from PBE-GGA.

The structure belongs to space group P6_3/mcm (No. 193); the cell edges are 8.0353, 8.0353 and 5.5087 Å and the angles 90.00°, 90.00° and 120.00°. The distinct sites, in fractional coordinates, are Ag at (0.0000, 0.3555, 0.2500), Ag at (0.3333, 0.6667, 0.0000), Pt at (0.0000, 0.0000, 0.0000) and Pt at (0.0000, 0.3079, 0.7500).

Its density of states at the Fermi level is 11.92 states/eV per cell. For the calculated density, the calculation gives 14.2 Mg/m³.

---

Run c
Here is an optimized crystal structure of Ag5Pt4 from the Alexandria database. Energies are from PBE-GGA.

The structure belongs to space group I4/mmm (No. 139); the cell edges are 8.681, 8.681 and 4.003 Å and the angles 90.00°, 90.00° and 90.00°. The distinct sites, in fractional coordinates, are Ag at (0.000, 0.000, 0.000), Ag at (0.167, 0.167, 0.500) and Pt at (0.000, 0.341, 0.000).

Its density of states at the Fermi level is 16.88 states/eV per cell. For the calculated density, the calculation gives 14.5 Mg/m³.

---

Short version: run b is the least stable of them.

---

Run a
Here is an optimized crystal structure of Ag5Pt4 from the Alexandria database. Energies are from PBE-GGA.

The structure belongs to space group C2/m (No. 12); the cell edges are 12.462, 4.008 and 6.343 Å and the angles 90.00°, 108.47° and 90.00°. The distinct sites, in fractional coordinates, are Ag at (0.000, 0.000, 0.000), Ag at (0.056, 0.500, 0.327), Ag at (0.112, 0.000, 0.664), Pt at (0.173, 0.500, 0.005) and Pt at (0.224, 0.000, 0.333).

Its density of states at the Fermi level is 8.44 states/eV per cell. For the calculated density, the calculation gives 14.6 Mg/m³.

---

Run b
Here is an optimized crystal structure of Ag5Pt4 from the Alexandria database. Energies are from PBE-GGA.

The structure belongs to space group C2/m (No. 12); the cell edges are 9.054, 4.113 and 8.488 Å and the angles 90.00°, 107.85° and 90.00°. The distinct sites, in fractional coordinates, are Ag at (0.000, 0.000, 0.000), Ag at (0.003, 0.000, 0.665), Ag at (0.163, 0.500, 0.222), Pt at (0.169, 0.500, 0.557) and Pt at (0.174, 0.500, 0.889).

Its density of states at the Fermi level is 12.08 states/eV per cell. For the calculated density, the calculation gives 14.6 Mg/m³.

---

Run c
Here is an optimized crystal structure of Ag5Pt4 from the Alexandria database. Energies are from PBE-GGA.

The structure belongs to space group P-1 (No. 2); the cell edges are 4.953, 4.957 and 7.606 Å and the angles 89.89°, 71.05° and 60.07°. The distinct sites, in fractional coordinates, are Ag at (0.000, 0.000, 0.000), Ag at (0.329, 0.340, 0.001), Ag at (0.447, 0.109, 0.332), Pt at (0.115, 0.777, 0.337) and Pt at (0.222, 0.559, 0.662).

Its density of states at the Fermi level is 7.42 states/eV per cell. For the calculated density, the calculation gives 14.6 Mg/m³.

---

Short version: run b is the least stable of them.

---

Run a
Here is an optimized crystal structure of Ag2Pt3 from the Alexandria database. Energies are from PBE-GGA.

The structure belongs to space group P-3m1 (No. 164); the cell edges are 2.7912, 2.7912 and 12.0984 Å and the angles 90.00°, 90.00° and 120.00°. The distinct sites, in fractional coordinates, are Ag at (0.3333, 0.6667, 0.2994), Pt at (0.0000, 0.0000, 0.5000) and Pt at (0.3333, 0.6667, 0.9004).

Its density of states at the Fermi level is 4.54 states/eV per cell. For the calculated density, the calculation gives 16.3 Mg/m³.

---

Run b
Here is an optimized crystal structure of Ag2Pt3 from the Alexandria database. Energies are from PBE-GGA.

The structure belongs to space group P-3m1 (No. 164); the cell edges are 4.4022, 4.4022 and 5.4561 Å and the angles 90.00°, 90.00° and 120.00°. The distinct sites, in fractional coordinates, are Ag at (0.3333, 0.6667, 0.3451), Pt at (0.0000, 0.0000, 0.5000) and Pt at (0.3333, 0.6667, 0.8593).

Its density of states at the Fermi level is 9.77 states/eV per cell. For the calculated density, the calculation gives 14.5 Mg/m³.

---

Short version: run b is the least stable of them.